1 | An optimized crystal structure of NbPtIN2, computed with PBE-GGA.

CIF file:
```
data_NbPtIN2
_cell_length_a 3.871
_cell_length_b 3.871
_cell_length_c 7.648
_cell_angle_alpha 90.00
_cell_angle_beta 90.00
_cell_angle_gamma 90.00
_space_group_name_H-M_alt 'P 4/m m m'
_space_group_IT_number 123
_space_group_name_Hall '-P 4 2'
loop_
_atom_site_label
_atom_site_type_symbol
_atom_site_fract_x
_atom_site_fract_y
_atom_site_fract_z
_atom_site_occupancy
Nb1 Nb 0.000 0.000 0.000 1
Pt1 Pt 0.500 0.500 0.500 1
I1 I 0.500 0.500 0.000 1
N1 N 0.000 0.500 0.500 1
```

---

2 | An optimized crystal structure of NbPtIN2, computed with PBE-GGA.

CIF file:
```
data_NbPtIN2
_cell_length_a 3.972
_cell_length_b 3.972
_cell_length_c 6.260
_cell_angle_alpha 90.00
_cell_angle_beta 90.00
_cell_angle_gamma 90.00
_space_group_name_H-M_alt 'P 4/m m m'
_space_group_IT_number 123
_space_group_name_Hall '-P 4 2'
loop_
_atom_site_label
_atom_site_type_symbol
_atom_site_fract_x
_atom_site_fract_y
_atom_site_fract_z
_atom_site_occupancy
Nb1 Nb 0.000 0.000 0.000 1
Pt1 Pt 0.500 0.500 0.500 1
I1 I 0.000 0.000 0.500 1
N1 N 0.000 0.500 0.000 1
```

---

Stability, highest: 2

---

1 | An optimized crystal structure of NbPtI2N, computed with PBE-GGA.

CIF file:
```
data_NbPtI2N
_cell_length_a 5.616
_cell_length_b 5.616
_cell_length_c 3.866
_cell_angle_alpha 90.00
_cell_angle_beta 90.00
_cell_angle_gamma 90.00
_space_group_name_H-M_alt 'P 4/m m m'
_space_group_IT_number 123
_space_group_name_Hall '-P 4 2'
loop_
_atom_site_label
_atom_site_type_symbol
_atom_site_fract_x
_atom_site_fract_y
_atom_site_fract_z
_atom_site_occupancy
Nb1 Nb 0.000 0.000 0.000 1
Pt1 Pt 0.500 0.500 0.500 1
I1 I 0.000 0.500 0.000 1
N1 N 0.000 0.000 0.500 1
```

---

2 | An optimized crystal structure of NbPtI2N, computed with PBE-GGA.

CIF file:
```
data_NbPtI2N
_cell_length_a 5.729
_cell_length_b 5.729
_cell_length_c 3.713
_cell_angle_alpha 90.00
_cell_angle_beta 90.00
_cell_angle_gamma 90.00
_space_group_name_H-M_alt 'P 4/m m m'
_space_group_IT_number 123
_space_group_name_Hall '-P 4 2'
loop_
_atom_site_label
_atom_site_type_symbol
_atom_site_fract_x
_atom_site_fract_y
_atom_site_fract_z
_atom_site_occupancy
Nb1 Nb 0.000 0.000 0.000 1
Pt1 Pt 0.500 0.500 0.500 1
I1 I 0.000 0.500 0.500 1
N1 N 0.500 0.500 0.000 1
```

---

Stability, highest: 1